The following is a DFT calculation (PBE) of a relaxed structure of CsSn2B.

Results
- Formation energy from the elements: 12.35 kcal/mol of atoms
- DOS(E_F): 0.4281 states/eV per atom
- Total moment: 0.0 μB per formula unit
- Calculated density: 4.538 Mg/m³
- Final energy: -3.349 eV per atom

Cell: 7.3464 7.3464 10.3367 Å, 90.00 90.00 90.00°
With the nearest neighbours (Å) after each atom.
Space group I-42d (No. 122)
Unique sites:
Cs: 0.0000 0.0000 0.0000 [4 per cell]  4 Sn 3.80
Sn: 0.0819 0.2500 0.6250 [8 per cell]  2 B 2.32
B: 0.0000 0.0000 0.5000 [4 per cell]  4 Sn 2.32